1.
{"formula": "Al2Fe3W", "functional": "PBE", "state": "optimized geometry", "dos_at_fermi_per_ev_cell": 4.11, "formation_energy_mev_per_atom": -236.1, "total_energy_ev_per_atom": -7.874, "lattice_angstrom": [[-1.2762, 2.1832, 1.4783], [-1.7233, 0.5523, -2.3033], [-5.8841, -5.5237, 3.0779]], "species": ["Al", "Al", "W", "Fe", "Fe", "Fe"], "fractional_positions": [[0.5000, 0.5000, 0.1573], [0.5000, 0.5000, 0.8427], [0.5000, 0.5000, 0.5000], [0.0000, 0.0000, 0.3319], [0.0000, 0.0000, 0.0000], [0.0000, 0.0000, 0.6681]]}



2.
{"formula": "Ba2AlAsPd6", "functional": "PBE", "state": "optimized geometry", "dos_at_fermi_per_ev_cell": 4.38, "formation_energy_mev_per_atom": -665.8, "total_energy_ev_per_atom": -5.005, "lattice_angstrom": [[6.7528, 0.0219, 0.0178], [-0.0152, 6.9121, 0.1459], [3.3601, 3.5714, 4.9147]], "species": ["As", "Pd", "Pd", "Pd", "Pd", "Pd", "Pd", "Ba", "Ba", "Al"], "fractional_positions": [[0.5000, 0.5000, 0.0000], [0.2495, 0.7498, 0.9084], [0.1589, 0.2491, 0.0917], [0.2497, 0.1595, 0.5002], [0.8411, 0.7509, 0.9083], [0.7503, 0.8405, 0.4998], [0.7505, 0.2502, 0.0916], [0.2837, 0.7164, 0.4327], [0.7163, 0.2836, 0.5673], [0.0000, 0.0000, 0.0000]]}



3.
{"formula": "Y3Fe2", "functional": "PBE", "state": "optimized geometry", "dos_at_fermi_per_ev_cell": 6.48, "formation_energy_mev_per_atom": 367.1, "total_energy_ev_per_atom": -6.896, "lattice_angstrom": [[10.8578, -1.7875, 0.0238], [10.8578, 1.7875, 0.0238], [10.5567, 0.0000, 3.1052]], "species": ["Fe", "Fe", "Y", "Y", "Y"], "fractional_positions": [[0.3939, 0.3939, 0.3939], [0.6061, 0.6061, 0.6061], [0.2174, 0.2174, 0.2174], [0.7826, 0.7826, 0.7826], [0.0000, 0.0000, 0.0000]]}



4.
{"formula": "HfZr3Ni", "functional": "PBE", "state": "optimized geometry", "dos_at_fermi_per_ev_cell": 12.21, "formation_energy_mev_per_atom": -87.9, "e_above_lowest_polymorph_mev_per_atom": 0, "total_energy_ev_per_atom": -8.364, "lattice_angstrom": [[-4.1740, 0.1133, -1.7683], [3.7515, -5.3366, -3.6385], [-1.9264, -4.2680, 4.2737]], "species": ["Zr", "Zr", "Zr", "Zr", "Zr", "Zr", "Hf", "Hf", "Ni", "Ni"], "fractional_positions": [[0.7025, 0.9225, 0.2500], [0.2975, 0.0775, 0.7500], [0.1000, 0.7105, 0.4849], [0.9000, 0.2895, 0.9849], [0.9000, 0.2895, 0.5151], [0.1000, 0.7105, 0.0151], [0.4849, 0.4659, 0.2500], [0.5151, 0.5341, 0.7500], [0.2879, 0.0964, 0.2500], [0.7121, 0.9036, 0.7500]]}



5.
{"formula": "Th3In2Hg6", "functional": "PBE", "state": "optimized geometry", "dos_at_fermi_per_ev_cell": 9.35, "formation_energy_mev_per_atom": -51.9, "total_energy_ev_per_atom": -2.738, "lattice_angstrom": [[-2.1210, -2.9722, -2.4576], [3.2075, 0.1979, -3.0076], [7.1970, -10.3247, 10.2166]], "species": ["In", "In", "Hg", "Hg", "Hg", "Hg", "Hg", "Hg", "Th", "Th", "Th"], "fractional_positions": [[0.3607, 0.3607, 0.7215], [0.6393, 0.6393, 0.2785], [0.4262, 0.9262, 0.8523], [0.5738, 0.0738, 0.1477], [0.9262, 0.4262, 0.8523], [0.0738, 0.5738, 0.1477], [0.2696, 0.2696, 0.5392], [0.7304, 0.7304, 0.4608], [0.0000, 0.0000, 0.0000], [0.8304, 0.8304, 0.6608], [0.1696, 0.1696, 0.3392]]}



6.
{"formula": "Li4ZrP", "functional": "PBE", "state": "optimized geometry", "dos_at_fermi_per_ev_cell": 4.17, "formation_energy_mev_per_atom": 186.2, "total_energy_ev_per_atom": -3.416, "lattice_angstrom": [[0.0000, 3.6086, 3.6086], [3.6086, 0.0000, 3.6086], [3.6086, 3.6086, 0.0000]], "species": ["Li", "Li", "Li", "Li", "P", "Zr"], "fractional_positions": [[0.3769, 0.3769, 0.3769], [0.8694, 0.3769, 0.3769], [0.3769, 0.3769, 0.8694], [0.3769, 0.8694, 0.3769], [0.7500, 0.7500, 0.7500], [0.0000, 0.0000, 0.0000]]}